(1)
This record from Alexandria via LeMat-Bulk describes a relaxed Sm5AgTe4 crystal. The functional is PBE.

Calculated values
The space-group type is I4/mmm. The value obtained for the density of states at the Fermi level is 7.09 states/eV/f.u. The value obtained for the energy above the lowest structure with this stoichiometry is 10 kJ/mol of formula units. For the size of the total moment, the calculation gives 0.00 μB/f.u.

a b c (Å): 15.9775 15.9775 15.9775
angles (deg): 164.10 164.10 22.56
With the nearest neighbours (Å) after each atom.
Element x y z (fractional)
Sm: 0.0000 0.0000 0.0000  2 Te 3.10, 4 Ag 3.12
Sm: 0.1973 0.1973 0.0000  6 Te 3.08-3.21
Sm: 0.4005 0.4005 0.0000  1 Ag 3.12, 5 Te 3.12-3.15
Sm: 0.5995 0.5995 0.0000  1 Ag 3.12, 5 Te 3.12-3.15
Sm: 0.8027 0.8027 0.0000  6 Te 3.08-3.21
Ag: 0.5000 0.5000 0.0000  6 Sm 3.12
Te: 0.0990 0.0990 0.0000  6 Sm 3.08-3.12
Te: 0.2998 0.2998 0.0000  6 Sm 3.13-3.21
Te: 0.7002 0.7002 0.0000  6 Sm 3.13-3.21
Te: 0.9010 0.9010 0.0000  6 Sm 3.08-3.12

(2)
This record from Alexandria via LeMat-Bulk describes a relaxed Sm6AgTe5 crystal. The functional is PBE.

Calculated values
The space-group type is C2/m. Its final energy is -61.4 eV/cell. The value obtained for the density of states at the Fermi level is 5.51 states/eV/f.u. For the size of the total moment, the calculation gives 0.00 μB/f.u.

a b c (Å): 7.6710 7.6710 7.6622
angles (deg): 99.67 99.67 120.07
With the nearest neighbours (Å) after each atom.
Element x y z (fractional)
Sm: 0.0787 0.4043 0.7415  1 Ag 3.04, 5 Te 3.13-3.16
Sm: 0.2405 0.2405 0.2514  1 Ag 3.06, 5 Te 3.13-3.20
Sm: 0.4043 0.0787 0.7415  1 Ag 3.04, 5 Te 3.13-3.16
Sm: 0.5957 0.9213 0.2585  1 Ag 3.04, 5 Te 3.13-3.16
Sm: 0.7595 0.7595 0.7486  1 Ag 3.06, 5 Te 3.13-3.20
Sm: 0.9213 0.5957 0.2585  1 Ag 3.04, 5 Te 3.13-3.16
Ag: 0.0000 0.0000 0.5000  6 Sm 3.04-3.06
Te: 0.1729 0.8271 0.0000  6 Sm 3.14-3.16
Te: 0.3357 0.6643 0.5000  6 Sm 3.13-3.14
Te: 0.5000 0.5000 0.0000  6 Sm 3.14-3.20
Te: 0.6643 0.3357 0.5000  6 Sm 3.13-3.14
Te: 0.8271 0.1729 0.0000  6 Sm 3.14-3.16

(3)
This record from Alexandria via LeMat-Bulk describes a relaxed Sm5AgTe8 crystal. The functional is PBE.

Calculated values
The space-group type is I-4. Its final energy is -69.1 eV/cell. For the size of the total moment, the calculation gives 0.00 μB/f.u.

a b c (Å): 8.1892 8.1892 8.1892
angles (deg): 110.12 110.12 108.18
With the nearest neighbours (Å) after each atom.
Element x y z (fractional)
Sm: 0.0000 0.0000 0.0000  8 Te 3.14-3.38
Sm: 0.2561 0.1362 0.6269  8 Te 3.13-3.47
Sm: 0.3708 0.7439 0.8801  8 Te 3.13-3.47
Sm: 0.5093 0.6292 0.3731  8 Te 3.13-3.47
Sm: 0.8638 0.4907 0.1199  8 Te 3.13-3.47
Ag: 0.7500 0.2500 0.5000  4 Te 3.06
Te: 0.1095 0.3641 0.8844  1 Ag 3.06, 4 Sm 3.13-3.38
Te: 0.1424 0.3851 0.3956  5 Sm 3.14-3.36
Te: 0.2532 0.8576 0.2427  5 Sm 3.14-3.36
Te: 0.4797 0.2251 0.1156  1 Ag 3.06, 4 Sm 3.13-3.38
Te: 0.6149 0.0105 0.7573  5 Sm 3.14-3.36
Te: 0.6359 0.5203 0.7454  1 Ag 3.06, 4 Sm 3.13-3.38
Te: 0.7749 0.8905 0.2546  1 Ag 3.06, 4 Sm 3.13-3.38
Te: 0.9895 0.7468 0.6044  5 Sm 3.14-3.36

(4)
This record from Alexandria via LeMat-Bulk describes a relaxed Sm5AgTe4 crystal. The functional is PBE.

Calculated values
The space-group type is Immm. The value obtained for the density of states at the Fermi level is 6.03 states/eV/f.u. The value obtained for the energy above the lowest structure with this stoichiometry is 0 kJ/mol of formula units. For the size of the total moment, the calculation gives 0.00 μB/f.u.

a b c (Å): 11.8491 11.8491 11.8491
angles (deg): 158.92 149.23 37.60
With the nearest neighbours (Å) after each atom.
Element x y z (fractional)
Sm: 0.0000 0.0000 0.0000  4 Te 3.13, 2 Ag 3.14
Sm: 0.2006 0.2006 0.0000  6 Te 3.12-3.15
Sm: 0.4057 0.4057 0.0000  2 Ag 3.03, 4 Te 3.15-3.17
Sm: 0.5943 0.5943 0.0000  2 Ag 3.03, 4 Te 3.15-3.17
Sm: 0.7994 0.7994 0.0000  6 Te 3.12-3.15
Ag: 0.5000 0.0000 0.5000  6 Sm 3.03-3.14
Te: 0.1008 0.6008 0.5000  6 Sm 3.12-3.15
Te: 0.3027 0.8027 0.5000  6 Sm 3.14-3.17
Te: 0.6973 0.1973 0.5000  6 Sm 3.14-3.17
Te: 0.8992 0.3992 0.5000  6 Sm 3.12-3.15